Here is Ca2MnAs3Pd4 after structural relaxation from Alexandria via LeMat-Bulk. Energies are from GGA-PBE.

Results
Formation energy (eV/atom): -0.662

abc: 4.1932 4.1932 10.9045
angles: 90.00 90.00 90.00
Closest atoms and distances in Å follow each position.
Space group P-4m2 (No. 115)
Unique sites:
Ca1 0.0000 0.5000 0.2390  6 As 3.17-3.54, 8 Pd 3.24-3.34, 2 Mn 3.54
Mn1 0.0000 0.0000 0.5000  4 Pd 2.60
As1 0.0000 0.5000 0.8647  5 Pd 2.44-2.56
As2 0.5000 0.5000 0.5000  4 Pd 2.60
Pd1 0.0000 0.0000 0.0000  4 As 2.56
Pd2 0.0000 0.5000 0.6407  3 As 2.44-2.60, 2 Mn 2.60
Pd3 0.5000 0.5000 0.0000  4 As 2.56



Here is Ca2MnAs4Pd3 after structural relaxation from Alexandria via LeMat-Bulk. Energies are from GGA-PBE.

Results
Formation energy (eV/atom): -0.695

abc: 4.2426 4.2426 10.7762
angles: 90.00 90.00 90.00
Closest atoms and distances in Å follow each position.
Space group P-4m2 (No. 115)
Unique sites:
Ca1 0.0000 0.5000 0.2489  8 As 3.25-3.44, 6 Pd 3.25-3.42, 2 Mn 3.42
Mn1 0.5000 0.5000 0.0000  4 As 2.56
As1 0.0000 0.0000 0.5000  4 Pd 2.58
As2 0.0000 0.5000 0.8663  3 Pd 2.49-2.56, 2 Mn 2.56
As3 0.5000 0.5000 0.5000  4 Pd 2.58
Pd1 0.0000 0.0000 0.0000  4 As 2.56
Pd2 0.0000 0.5000 0.6357  5 As 2.49-2.58



Here is Ca2MnAs3Pt4 after structural relaxation from Alexandria via LeMat-Bulk. Energies are from GGA-PBE.

Results
Formation energy (eV/atom): -0.683

abc: 4.2506 4.2506 10.6759
angles: 90.00 90.00 90.00
Closest atoms and distances in Å follow each position.
Space group P-4m2 (No. 115)
Unique sites:
Ca1 0.0000 0.5000 0.2424  6 As 3.22-3.48, 8 Pt 3.27-3.35, 2 Mn 3.48
Mn1 0.0000 0.0000 0.5000  4 Pt 2.58
As1 0.0000 0.5000 0.8645  5 Pt 2.43-2.57
As2 0.5000 0.5000 0.5000  4 Pt 2.58
Pt1 0.0000 0.0000 0.0000  4 As 2.57
Pt2 0.0000 0.5000 0.6373  3 As 2.43-2.58, 2 Mn 2.58
Pt3 0.5000 0.5000 0.0000  4 As 2.57



Here is Ca2MnAs4Pt3 after structural relaxation from Alexandria via LeMat-Bulk. Energies are from GGA-PBE.

Results
Formation energy (eV/atom): -0.708

abc: 4.2878 4.2878 10.6127
angles: 90.00 90.00 90.00
Closest atoms and distances in Å follow each position.
Space group P-4m2 (No. 115)
Unique sites:
Ca1 0.0000 0.5000 0.2481  8 As 3.26-3.43, 6 Pt 3.29-3.40, 2 Mn 3.40
Mn1 0.5000 0.5000 0.0000  4 As 2.58
As1 0.0000 0.0000 0.5000  4 Pt 2.56
As2 0.0000 0.5000 0.8653  3 Pt 2.48-2.58, 2 Mn 2.58
As3 0.5000 0.5000 0.5000  4 Pt 2.56
Pt1 0.0000 0.0000 0.0000  4 As 2.58
Pt2 0.0000 0.5000 0.6321  5 As 2.48-2.56



Here is RbCa2MnAs after structural relaxation from Alexandria via LeMat-Bulk. Energies are from GGA-PBE.

Results
Formation energy (eV/atom): 0.844

abc: 5.3911 5.3911 5.2883
angles: 90.00 90.00 90.00
Closest atoms and distances in Å follow each position.
Space group P4/mmm (No. 123)
Unique sites:
Rb1 0.0000 0.0000 0.0000  2 Mn 2.64
Ca1 0.0000 0.5000 0.5000  2 Mn 2.70
Mn1 0.0000 0.0000 0.5000  2 Rb 2.64, 4 Ca 2.70
As1 0.5000 0.5000 0.0000  8 Ca 3.78, 4 Rb 3.81



Here is Ca2MnReAs after structural relaxation from Alexandria via LeMat-Bulk. Energies are from GGA-PBE.

Results
Formation energy (eV/atom): 1.048

abc: 5.4107 5.4107 4.6058
angles: 90.00 90.00 90.00
Closest atoms and distances in Å follow each position.
Space group P4/mmm (No. 123)
Unique sites:
Ca1 0.0000 0.5000 0.0000  2 As 2.71
Mn1 0.0000 0.0000 0.5000  8 Ca 3.55, 4 Re 3.83
Re1 0.5000 0.5000 0.5000  2 As 2.30
As1 0.5000 0.5000 0.0000  2 Re 2.30



Here is Ca2MnAsRh after structural relaxation from Alexandria via LeMat-Bulk. Energies are from GGA-PBE.

Results
Formation energy (eV/atom): 0.150

abc: 5.4810 5.4810 4.5921
angles: 90.00 90.00 90.00
Closest atoms and distances in Å follow each position.
Space group P4/mmm (No. 123)
Unique sites:
Ca1 0.0000 0.5000 0.0000  2 As 2.74
Mn1 0.0000 0.0000 0.5000  2 As 2.30
As1 0.0000 0.0000 0.0000  2 Mn 2.30
Rh1 0.5000 0.5000 0.5000  8 Ca 3.58, 4 Mn 3.88



Here is Ca2MnAs4Rh3 after structural relaxation from Alexandria via LeMat-Bulk. Energies are from GGA-PBE.

Results
Formation energy (eV/atom): -0.693

abc: 4.2453 4.2453 10.2929
angles: 90.00 90.00 90.00
Closest atoms and distances in Å follow each position.
Space group P-4m2 (No. 115)
Unique sites:
Ca1 0.0000 0.5000 0.2446  6 Rh 3.25-3.38, 8 As 3.25-3.29, 2 Mn 3.38
Mn1 0.0000 0.0000 0.5000  4 As 2.53
As1 0.0000 0.0000 0.0000  4 Rh 2.48
As2 0.0000 0.5000 0.6345  3 Rh 2.48-2.53, 2 Mn 2.53
As3 0.5000 0.5000 0.0000  4 Rh 2.48
Rh1 0.0000 0.5000 0.8752  5 As 2.48
Rh2 0.5000 0.5000 0.5000  4 As 2.53



Here is Ca2MnAs3Rh4 after structural relaxation from Alexandria via LeMat-Bulk. Energies are from GGA-PBE.

Results
Formation energy (eV/atom): -0.702

abc: 4.1165 4.1165 10.6088
angles: 90.00 90.00 90.00
Closest atoms and distances in Å follow each position.
Space group P-4m2 (No. 115)
Unique sites:
Ca1 0.0000 0.5000 0.2501  8 Rh 3.14-3.36, 6 As 3.16-3.36, 2 Mn 3.36
Mn1 0.0000 0.0000 0.5000  4 Rh 2.53
As1 0.0000 0.5000 0.8656  5 Rh 2.42-2.50
As2 0.5000 0.5000 0.5000  4 Rh 2.53
Rh1 0.0000 0.0000 0.0000  4 As 2.50
Rh2 0.0000 0.5000 0.6379  3 As 2.42-2.53, 2 Mn 2.53
Rh3 0.5000 0.5000 0.0000  4 As 2.50



Here is CaMn2SiAs after structural relaxation from Alexandria via LeMat-Bulk. Energies are from GGA-PBE.

Results
Raw formation energy (meV per atom): 236

abc: 4.5581 4.5581 5.2057
angles: 90.00 90.00 90.00
Closest atoms and distances in Å follow each position.
Space group P4/mmm (No. 123)
Unique sites:
Ca1 0.0000 0.0000 0.0000  4 As 3.22, 8 Mn 3.46
Mn1 0.0000 0.5000 0.5000  2 Si 2.28
Si1 0.5000 0.5000 0.5000  4 Mn 2.28
As1 0.5000 0.5000 0.0000  2 Si 2.60



Here is Ca3U3MnAs8 after structural relaxation from Alexandria via LeMat-Bulk. Energies are from GGA-PBE.

Results
Formation energy (eV/atom): -0.696

abc: 8.0791 8.0791 20.8384
angles: 90.00 90.00 120.00
Closest atoms and distances in Å follow each position.
Space group R-3m (No. 166, hexagonal axes)
Unique sites:
Ca1 0.0000 0.5000 0.0000  6 As 2.97-3.02
U1 0.0000 0.5000 0.5000  6 As 2.82-2.84
Mn1 0.0000 0.0000 0.5000  6 As 2.66
As1 0.0000 0.0000 0.2448  3 U 2.84, 3 Ca 2.97
As2 0.0178 0.5089 0.2381  1 Mn 2.66, 2 U 2.82



Here is CaYMnAs2 after structural relaxation from Alexandria via LeMat-Bulk. Energies are from GGA-PBE.

Results
Formation energy (eV/atom): 0.679

abc: 5.3619 5.3619 6.2628
angles: 90.00 90.00 90.00
Closest atoms and distances in Å follow each position.
Space group P4/mmm (No. 123)
Unique sites:
Ca1 0.0000 0.0000 0.0000  2 Y 3.13
Y1 0.0000 0.0000 0.5000  4 As 2.68
Mn1 0.5000 0.5000 0.0000  4 Ca 3.79, 8 As 4.12
As1 0.0000 0.5000 0.5000  2 Y 2.68



no.,M_tot (μB/f.u.),density (g/cm3)
1,4.2,6.80
2,3.6,6.46
3,4.0,9.82
4,3.7,8.68
5,0.0,3.19
6,0.3,4.88
7,5.0,3.77
8,3.2,6.66
9,3.6,7.13
10,7.1,3.88
11,7.0,6.30
12,5.1,3.08